# 1
Computed, not measured: an optimized crystal structure of NiSbAs2Se at the PBE level of DFT.

a b c (Å): 5.2489 5.2489 5.2535
angles (deg): 90.00 90.00 90.00
Closest atoms and distances in Å follow each position.
Atoms (fractional coordinates):
Sb 0.0000 0.0000 0.0000  4 As 2.62, 2 Se 2.63
As 0.0000 0.5000 0.0000  2 Sb 2.62
As 0.5000 0.0000 0.0000  2 Sb 2.62
Se 0.0000 0.0000 0.5000  2 Sb 2.63
Ni 0.5000 0.5000 0.5000  4 Se 3.71, 8 As 3.71

The value obtained for the energy above the lowest structure with this stoichiometry is 4.77 eV/f.u. The magnetization is 0.276 μB/atom. Its space group is P4/mmm (123). As for the energy: -16.237 eV per formula unit. The value obtained for the formation energy without anion corrections is 1290 meV per atom.


# 2
Computed, not measured: an optimized crystal structure of Sc3SnN at the PBE level of DFT.

a b c (Å): 19.7251 5.8543 5.8543
angles (deg): 134.15 148.40 31.60
Closest atoms and distances in Å follow each position.
Atoms (fractional coordinates):
Sc 0.3102 0.7755 0.2245  2 N 2.21-2.27
Sc 0.6898 0.2245 0.7755  2 N 2.21-2.27
Sc 0.1703 0.2909 0.7091  1 N 2.18
Sc 0.8297 0.7091 0.2909  1 N 2.18
Sc 0.5628 0.7302 0.2698  3 N 2.26-2.29
Sc 0.4372 0.2698 0.7302  3 N 2.26-2.29
Sn 0.0726 0.7427 0.2573  8 Sc 2.98-3.32, 1 Sn 3.10
Sn 0.9274 0.2573 0.7427  8 Sc 2.98-3.32, 1 Sn 3.10
N 0.5666 0.2402 0.7598  6 Sc 2.18-2.29
N 0.4334 0.7598 0.2402  6 Sc 2.18-2.29

The magnetization is 0.000 μB/atom. Its space group is C2/m (12). As for the energy: -36.393 eV per formula unit. The value obtained for the formation energy without anion corrections is -1014 meV per atom.


# 3
Computed, not measured: an optimized crystal structure of BaSrCa2Ag at the PBE level of DFT.

a b c (Å): 6.0193 6.0193 6.2145
angles (deg): 90.00 90.00 90.00
Closest atoms and distances in Å follow each position.
Atoms (fractional coordinates):
Sr 0.0000 0.0000 0.5000  2 Ag 3.11
Ca 0.0000 0.5000 0.0000  2 Ag 3.01
Ca 0.5000 0.0000 0.0000  2 Ag 3.01
Ba 0.5000 0.5000 0.5000  4 Sr 4.26, 8 Ca 4.33
Ag 0.0000 0.0000 0.0000  4 Ca 3.01, 2 Sr 3.11

The value obtained for the energy above the lowest structure with this stoichiometry is 0.00 eV/f.u. The magnetization is 0.000 μB/atom. Its space group is P4/mmm (123). As for the energy: -10.901 eV per formula unit. The formation enthalpy at 0 K comes out at -0.0884 eV/atom.


# 4
Computed, not measured: an optimized crystal structure of ZrCd4Re at the PBE level of DFT.

a b c (Å): 5.4893 5.4893 5.4893
angles (deg): 60.00 60.00 60.00
Closest atoms and distances in Å follow each position.
Atoms (fractional coordinates):
Zr 0.0000 0.0000 0.0000  12 Cd 3.22, 4 Re 3.36
Cd 0.8735 0.3755 0.3755  6 Cd 2.73-2.76
Cd 0.3755 0.3755 0.8735  6 Cd 2.73-2.76
Cd 0.3755 0.8735 0.3755  6 Cd 2.73-2.76
Cd 0.3755 0.3755 0.3755  6 Cd 2.73-2.76
Re 0.7500 0.7500 0.7500  12 Cd 3.22, 4 Zr 3.36

The magnetization is 0.000 μB/atom. Its space group is F-43m (216). As for the energy: -22.414 eV per formula unit. The formation enthalpy at 0 K comes out at 0.3738 eV/atom.


# 5
Computed, not measured: an optimized crystal structure of ZrFeTc3 at the PBE level of DFT.

a b c (Å): 4.4295 4.4295 4.4295
angles (deg): 90.00 90.00 90.00
Closest atoms and distances in Å follow each position.
Atoms (fractional coordinates):
Tc 0.0000 0.5000 0.0000  2 Fe 2.21
Tc 0.0000 0.0000 0.5000  2 Fe 2.21
Tc 0.5000 0.0000 0.0000  2 Fe 2.21
Zr 0.5000 0.5000 0.5000  12 Tc 3.13
Fe 0.0000 0.0000 0.0000  6 Tc 2.21

The value obtained for the energy above the lowest structure with this stoichiometry is 0.00 eV/f.u. The magnetization is 0.000 μB/atom. Its space group is Pm-3m (221). As for the energy: -44.444 eV per formula unit. The formation enthalpy at 0 K comes out at 0.7330 eV/atom.


# 6
Computed, not measured: an optimized crystal structure of Mg2ReBRu at the PBE level of DFT.

a b c (Å): 4.8978 4.6459 4.8978
angles (deg): 90.00 90.00 90.00
Closest atoms and distances in Å follow each position.
Atoms (fractional coordinates):
Re 0.0000 0.5000 0.0000  2 Ru 2.32
Mg 0.0000 0.0000 0.5000  2 Ru 2.45
Mg 0.5000 0.0000 0.0000  2 Ru 2.45
B 0.5000 0.5000 0.5000  8 Mg 3.38, 4 Re 3.46
Ru 0.0000 0.0000 0.0000  2 Re 2.32, 4 Mg 2.45

The magnetization is 0.376 μB/atom. Its space group is P4/mmm (123). As for the energy: -22.999 eV per formula unit. The formation enthalpy at 0 K comes out at 1.7182 eV/atom.


# 7
Computed, not measured: an optimized crystal structure of InGaTe2 at the PBE level of DFT.

a b c (Å): 10.2938 10.2938 10.2938
angles (deg): 21.43 21.43 21.43
Closest atoms and distances in Å follow each position.
Atoms (fractional coordinates):
Te 0.8905 0.8905 0.8905  3 Ga 2.80
Te 0.1095 0.1095 0.1095  3 Ga 2.80
Ga 0.5000 0.5000 0.5000  6 Te 2.80
In 0.0000 0.0000 0.0000  2 Te 3.30

The magnetization is 0.000 μB/atom. Its space group is R-3m (166). As for the energy: -12.064 eV per formula unit. The value obtained for the formation energy without anion corrections is -4 meV per atom.


# 8
Computed, not measured: an optimized crystal structure of ZnGaAuSe2 at the PBE level of DFT.

a b c (Å): 4.9828 4.7654 4.9828
angles (deg): 90.00 90.00 90.00
Closest atoms and distances in Å follow each position.
Atoms (fractional coordinates):
Zn 0.0000 0.0000 0.0000  2 Ga 2.38, 4 Se 2.49
Au 0.5000 0.5000 0.5000  8 Se 3.45, 4 Ga 3.52
Ga 0.0000 0.5000 0.0000  2 Zn 2.38
Se 0.0000 0.0000 0.5000  2 Zn 2.49
Se 0.5000 0.0000 0.0000  2 Zn 2.49

The magnetization is 0.000 μB/atom. Its space group is P4/mmm (123). As for the energy: -12.461 eV per formula unit. The value obtained for the formation energy without anion corrections is 417 meV per atom.


# 9
Computed, not measured: an optimized crystal structure of LiTl2CrS4 at the PBE level of DFT.

a b c (Å): 5.7292 6.9315 11.7916
angles (deg): 84.24 75.94 65.59
Closest atoms and distances in Å follow each position.
Atoms (fractional coordinates):
Li 0.7500 0.5000 0.5000  4 S 2.39
Li 0.0000 0.0000 0.0000  4 S 2.39
Tl 0.1859 0.0000 0.6282  6 S 3.27-3.62
Tl 0.8141 0.0000 0.3718  6 S 3.27-3.62
Tl 0.5641 0.5000 0.8718  6 S 3.27-3.62
Tl 0.9359 0.5000 0.1282  6 S 3.27-3.62
Cr 0.2500 0.5000 0.5000  4 S 2.13
Cr 0.5000 0.0000 0.0000  4 S 2.13
S 0.3335 0.7997 0.1049  1 Cr 2.13
S 0.2381 0.2003 0.8951  1 Cr 2.13
S 0.8668 0.7997 0.8951  1 Cr 2.13
S 0.5616 0.2003 0.1049  1 Cr 2.13
S 0.4165 0.7003 0.3951  1 Cr 2.13
S 0.5119 0.2997 0.6049  1 Cr 2.13
S 0.8832 0.7003 0.6049  1 Cr 2.13
S 0.1884 0.2997 0.3951  1 Cr 2.13

The magnetization is 0.125 μB/atom. Its space group is Fddd (70). As for the energy: -37.274 eV per formula unit. The value obtained for the formation energy without anion corrections is -562 meV per atom.


# 10
Computed, not measured: an optimized crystal structure of Np2H4Ru at the PBE level of DFT.

a b c (Å): 3.4309 3.4309 7.1928
angles (deg): 76.20 76.20 90.00
Closest atoms and distances in Å follow each position.
Atoms (fractional coordinates):
Np 0.3564 0.3564 0.2872  9 H 2.32-2.59
Np 0.6436 0.6436 0.7128  9 H 2.32-2.59
Ru 0.0000 0.0000 0.0000  4 H 1.72
H 0.1852 0.1852 0.6296  5 Np 2.32-2.49, 1 Ru 2.51
H 0.8148 0.8148 0.3704  5 Np 2.32-2.49, 1 Ru 2.51
H 0.0000 0.5000 0.0000  2 Ru 1.72
H 0.5000 0.0000 0.0000  2 Ru 1.72

The magnetization is 1.234 μB/atom. Its space group is I4/mmm (139). As for the energy: -48.538 eV per formula unit.


# 11
Computed, not measured: an optimized crystal structure of TePbI at the PBE level of DFT.

a b c (Å): 6.2237 8.6513 5.8718
angles (deg): 85.15 91.75 67.66
Closest atoms and distances in Å follow each position.
Atoms (fractional coordinates):
Pb 0.9005 0.7224 0.7545  2 Te 3.09-3.32, 3 I 3.19-3.28
Pb 0.5573 0.3359 0.9167  2 Te 3.10-3.12, 2 I 3.16-3.33
I 0.7601 0.9673 0.1676  2 Pb 3.16-3.28
I 0.4056 0.7122 0.6229  3 Pb 3.19-3.33
Te 0.0773 0.4219 0.1309  1 Te 2.86, 2 Pb 3.09-3.12
Te 0.1173 0.3162 0.6794  1 Te 2.86, 1 Pb 3.10

The value obtained for the energy above the lowest structure with this stoichiometry is 0.01 eV/f.u. The magnetization is 0.000 μB/atom. Its space group is P1 (1). As for the energy: -9.428 eV per formula unit. The value obtained for the formation energy without anion corrections is -343 meV per atom.


# 12
Computed, not measured: an optimized crystal structure of K3RePt at the PBE level of DFT.

a b c (Å): 6.0765 6.0765 6.0765
angles (deg): 90.00 90.00 90.00
Closest atoms and distances in Å follow each position.
Atoms (fractional coordinates):
Re 0.5000 0.5000 0.5000  12 K 4.30
K 0.0000 0.5000 0.0000  2 Pt 3.04
K 0.0000 0.0000 0.5000  2 Pt 3.04
K 0.5000 0.0000 0.0000  2 Pt 3.04
Pt 0.0000 0.0000 0.0000  6 K 3.04

The value obtained for the energy above the lowest structure with this stoichiometry is 0.00 eV/f.u. The magnetization is 0.803 μB/atom. Its space group is Pm-3m (221). As for the energy: -15.036 eV per formula unit. The formation enthalpy at 0 K comes out at 1.3490 eV/atom.